Record 1
First-principles (GGA-PBE) data for an optimized crystal structure of Y2Ga4NiRh3, as listed in Alexandria.

Cell lengths 4.1307, 4.1307, 10.4383 Å; angles 90.00, 90.00, 90.00 degrees
Positions (direct):
Y (0.0000, 0.5000, 0.2420)
Y (0.5000, 0.0000, 0.7580)
Ga (0.0000, 0.0000, 0.5000)
Ga (0.0000, 0.5000, 0.8741)
Ga (0.5000, 0.0000, 0.1259)
Ga (0.5000, 0.5000, 0.5000)
Ni (0.5000, 0.5000, 0.0000)
Rh (0.0000, 0.0000, 0.0000)
Rh (0.0000, 0.5000, 0.6383)
Rh (0.5000, 0.0000, 0.3617)

Properties
E_form = -0.7349 eV/atom
uncorrected energy = -60.22 eV per cell


Record 2
First-principles (GGA-PBE) data for an optimized crystal structure of Y2GaNi2Rh5, as listed in Alexandria.

Cell lengths 9.2167, 9.2167, 3.7953 Å; angles 90.00, 90.00, 90.00 degrees
Positions (direct):
Y (0.1742, 0.3258, 0.0000)
Y (0.3258, 0.8258, 0.0000)
Y (0.6742, 0.1742, 0.0000)
Y (0.8258, 0.6742, 0.0000)
Ga (0.0000, 0.0000, 0.0000)
Ga (0.5000, 0.5000, 0.0000)
Ni (0.1241, 0.6241, 0.0000)
Ni (0.3759, 0.1241, 0.0000)
Ni (0.6241, 0.8759, 0.0000)
Ni (0.8759, 0.3759, 0.0000)
Rh (0.0000, 0.5000, 0.5000)
Rh (0.0666, 0.7959, 0.5000)
Rh (0.2041, 0.0666, 0.5000)
Rh (0.2959, 0.5666, 0.5000)
Rh (0.4334, 0.2959, 0.5000)
Rh (0.5000, 0.0000, 0.5000)
Rh (0.5666, 0.7041, 0.5000)
Rh (0.7041, 0.4334, 0.5000)
Rh (0.7959, 0.9334, 0.5000)
Rh (0.9334, 0.2041, 0.5000)

Properties
E_form = -0.5217 eV/atom
uncorrected energy = -138.98 eV per cell


Record 3
First-principles (GGA-PBE) data for an optimized crystal structure of ZnGaNiRh, as listed in Alexandria.

Cell lengths 4.2094, 4.2094, 4.2094 Å; angles 60.00, 60.00, 60.00 degrees
Positions (direct):
Zn (0.0000, 0.0000, 0.0000)
Ga (0.5000, 0.5000, 0.5000)
Ni (0.2500, 0.2500, 0.2500)
Rh (0.7500, 0.7500, 0.7500)

Properties
E_form = -0.4381 eV/atom
uncorrected energy = -19.19 eV per cell
energy relative to the lowest polymorph listed for this composition = 0.023 eV/atom